14
Lattice="7.039 -0.216 2.689 1.776 6.814 2.689 -0.289 -0.216 7.529" Properties=species:S:1:pos:R:3 comment="Tl3PbAu3, relaxed, DFT GGA-PBE" e_above_lowest_polymorph_ev_per_atom=0.000 dos_ef_per_ev_fu=2.672 pbc="T T T"
Pb 5.092 3.812 7.709
Pb 3.434 2.570 5.198
Au 5.106 1.410 9.522
Au 0.863 1.881 6.602
Au 3.420 4.972 3.385
Au 3.257 6.084 8.433
Au 7.663 4.501 6.304
Au 5.269 0.298 4.474
Tl 2.234 2.555 9.117
Tl 1.349 4.958 6.495
Tl 4.568 6.485 5.632
Tl 6.292 3.827 3.789
Tl 3.958 -0.103 7.274
Tl 7.177 1.423 6.411